# 1
# MnRuRh (meta-GGA SCAN, single point on PBEsol structure)
data_MnRuRh
_chemical_formula_sum 'Mn1 Ru1 Rh1'
_cell_length_a 4.1148
_cell_length_b 4.1148
_cell_length_c 2.6168
_cell_angle_alpha 90.00
_cell_angle_beta 90.00
_cell_angle_gamma 120.00
_symmetry_space_group_name_H-M 'P -6 m 2'
_symmetry_Int_Tables_number 187
_symmetry_space_group_name_Hall 'P -6 2'
loop_
_atom_site_label
_atom_site_type_symbol
_atom_site_fract_x
_atom_site_fract_y
_atom_site_fract_z
Mn1 Mn 0.0000 0.0000 0.0000
Ru1 Ru 0.3333 0.6667 0.0000
Rh1 Rh 0.6667 0.3333 0.5000
# **Formation energy**: 25 meV/atom
# **E_tot**: -28.926 eV/atom
# **V**: 38 Å³ per cell

# 2
# La2ZnAu (meta-GGA SCAN, single point on PBEsol structure)
data_La2ZnAu
_chemical_formula_sum 'La4 Zn2 Au2'
_cell_length_a 3.806
_cell_length_b 4.807
_cell_length_c 10.654
_cell_angle_alpha 90.00
_cell_angle_beta 90.00
_cell_angle_gamma 90.00
_symmetry_space_group_name_H-M 'I m m 2'
_symmetry_Int_Tables_number 44
loop_
_symmetry_equiv_pos_as_xyz
'x,y,z'
'-x,-y,z'
'-x,y,z'
'x,-y,z'
'x+1/2,y+1/2,z+1/2'
'-x+1/2,-y+1/2,z+1/2'
'-x+1/2,y+1/2,z+1/2'
'x+1/2,-y+1/2,z+1/2'
loop_
_atom_site_label
_atom_site_type_symbol
_atom_site_fract_x
_atom_site_fract_y
_atom_site_fract_z
La1 La 0.000 0.000 0.000
La2 La 0.000 0.500 0.205
Zn1 Zn 0.000 0.500 0.771
Au1 Au 0.000 0.000 0.446
# **Formation energy**: -615 meV/atom
# **E_tot**: -42.835 eV/atom
# **V**: 195 Å³ per cell

# 3
# CoAsIO2 (meta-GGA SCAN, single point on PBEsol structure)
data_CoAsIO2
_chemical_formula_sum 'Co1 As1 I1 O2'
_cell_length_a 3.695
_cell_length_b 3.695
_cell_length_c 6.105
_cell_angle_alpha 90.00
_cell_angle_beta 90.00
_cell_angle_gamma 90.00
_symmetry_space_group_name_H-M 'P 4/m m m'
_symmetry_Int_Tables_number 123
_symmetry_space_group_name_Hall '-P 4 2'
loop_
_atom_site_label
_atom_site_type_symbol
_atom_site_fract_x
_atom_site_fract_y
_atom_site_fract_z
Co1 Co 0.000 0.000 0.000
As1 As 0.500 0.500 0.500
I1 I 0.500 0.500 0.000
O1 O 0.000 0.500 0.500
# **Uncorrected formation energy**: -0.12 eV/atom
# **E_tot**: -17.464 eV/atom
# **V**: 83 Å³ per cell

# 4
# CaF (meta-GGA SCAN, single point on PBEsol structure)
data_CaF
_chemical_formula_sum 'Ca2 F2'
_cell_length_a 3.8889
_cell_length_b 3.8889
_cell_length_c 6.3347
_cell_angle_alpha 90.00
_cell_angle_beta 90.00
_cell_angle_gamma 120.00
_symmetry_space_group_name_H-M 'P 63 m c'
_symmetry_Int_Tables_number 186
_symmetry_space_group_name_Hall 'P 6c -2c'
loop_
_atom_site_label
_atom_site_type_symbol
_atom_site_fract_x
_atom_site_fract_y
_atom_site_fract_z
Ca1 Ca 0.3333 0.6667 0.0000
F1 F 0.3333 0.6667 0.6249
# **Uncorrected formation energy**: -2.75 eV/atom
# **E_tot**: -9.349 eV/atom
# **V**: 83 Å³ per cell

# 5
# HfCo (meta-GGA SCAN, single point on PBEsol structure)
data_HfCo
_chemical_formula_sum 'Hf8 Co8'
_cell_length_a 3.167
_cell_length_b 18.590
_cell_length_c 4.106
_cell_angle_alpha 90.00
_cell_angle_beta 90.00
_cell_angle_gamma 90.00
_symmetry_space_group_name_H-M 'C m c m'
_symmetry_Int_Tables_number 63
_symmetry_space_group_name_Hall '-C 2c 2'
loop_
_atom_site_label
_atom_site_type_symbol
_atom_site_fract_x
_atom_site_fract_y
_atom_site_fract_z
Hf1 Hf 0.000 0.061 0.250
Hf2 Hf 0.000 0.194 0.750
Co1 Co 0.000 0.333 0.750
Co2 Co 0.000 0.442 0.250
# **Formation energy**: -369 meV/atom
# **E_tot**: -40.358 eV/atom
# **V**: 242 Å³ per cell

# 6
# K5Tm3I12 (meta-GGA SCAN, single point on PBEsol structure)
data_K5Tm3I12
_chemical_formula_sum 'K5 Tm3 I12'
_cell_length_a 14.4158
_cell_length_b 14.4158
_cell_length_c 4.2888
_cell_angle_alpha 90.00
_cell_angle_beta 90.00
_cell_angle_gamma 120.00
_symmetry_space_group_name_H-M 'P -6 2 m'
_symmetry_Int_Tables_number 189
_symmetry_space_group_name_Hall 'P -6 -2'
loop_
_atom_site_label
_atom_site_type_symbol
_atom_site_fract_x
_atom_site_fract_y
_atom_site_fract_z
K1 K 0.0000 0.7210 0.0000
K2 K 0.3333 0.6667 0.0000
Tm1 Tm 0.0000 0.3269 0.5000
I1 I 0.0000 0.1774 0.0000
I2 I 0.0000 0.4727 0.0000
I3 I 0.2057 0.7606 0.5000
# **Uncorrected formation energy**: -1.47 eV/atom
# **E_tot**: -33.369 eV/atom
# **V**: 772 Å³ per cell

# 7
# MgZr2Mo (meta-GGA SCAN, single point on PBEsol structure)
data_MgZr2Mo
_chemical_formula_sum 'Mg2 Zr4 Mo2'
_cell_length_a 4.709
_cell_length_b 4.841
_cell_length_c 6.778
_cell_angle_alpha 90.00
_cell_angle_beta 90.00
_cell_angle_gamma 90.00
_symmetry_space_group_name_H-M 'I m m m'
_symmetry_Int_Tables_number 71
_symmetry_space_group_name_Hall '-I 2 2'
loop_
_atom_site_label
_atom_site_type_symbol
_atom_site_fract_x
_atom_site_fract_y
_atom_site_fract_z
Mg1 Mg 0.000 0.000 0.000
Zr1 Zr 0.000 0.500 0.245
Mo1 Mo 0.000 0.000 0.500
# **Formation energy**: 20 meV/atom
# **E_tot**: -25.294 eV/atom
# **V**: 155 Å³ per cell

# 8
# LiHgTe3 (meta-GGA SCAN, single point on PBEsol structure)
data_LiHgTe3
_chemical_formula_sum 'Li1 Hg1 Te3'
_cell_length_a 5.074
_cell_length_b 5.074
_cell_length_c 5.074
_cell_angle_alpha 90.00
_cell_angle_beta 90.00
_cell_angle_gamma 90.00
_symmetry_space_group_name_H-M 'P m -3 m'
_symmetry_Int_Tables_number 221
_symmetry_space_group_name_Hall '-P 4 2 3'
loop_
_atom_site_label
_atom_site_type_symbol
_atom_site_fract_x
_atom_site_fract_y
_atom_site_fract_z
Li1 Li 0.000 0.000 0.000
Hg1 Hg 0.500 0.500 0.500
Te1 Te 0.000 0.000 0.500
# **Uncorrected formation energy**: 0.27 eV/atom
# **E_tot**: -36.191 eV/atom
# **V**: 131 Å³ per cell

# 9
# Cu2TcNiN (meta-GGA SCAN, single point on PBEsol structure)
data_Cu2TcNiN
_chemical_formula_sum 'Cu2 Tc1 Ni1 N1'
_cell_length_a 4.614
_cell_length_b 4.614
_cell_length_c 3.636
_cell_angle_alpha 90.00
_cell_angle_beta 90.00
_cell_angle_gamma 90.00
_symmetry_space_group_name_H-M 'P 4/m m m'
_symmetry_Int_Tables_number 123
_symmetry_space_group_name_Hall '-P 4 2'
loop_
_atom_site_label
_atom_site_type_symbol
_atom_site_fract_x
_atom_site_fract_y
_atom_site_fract_z
Cu1 Cu 0.000 0.500 0.000
Tc1 Tc 0.000 0.000 0.000
Ni1 Ni 0.500 0.500 0.500
N1 N 0.000 0.000 0.500
# **Uncorrected formation energy**: 1.27 eV/atom
# **E_tot**: -16.918 eV/atom
# **V**: 77 Å³ per cell

# 10
# YAgTe2 (meta-GGA SCAN, single point on PBEsol structure)
data_YAgTe2
_chemical_formula_sum 'Y2 Ag2 Te4'
_cell_length_a 4.119
_cell_length_b 3.987
_cell_length_c 13.016
_cell_angle_alpha 90.00
_cell_angle_beta 90.00
_cell_angle_gamma 90.00
_symmetry_space_group_name_H-M 'A m m 2'
_symmetry_Int_Tables_number 38
loop_
_symmetry_equiv_pos_as_xyz
'x,y,z'
'-x,-y,z'
'-x,y,z'
'x,-y,z'
'x,y+1/2,z+1/2'
'-x,-y+1/2,z+1/2'
'-x,y+1/2,z+1/2'
'x,-y+1/2,z+1/2'
loop_
_atom_site_label
_atom_site_type_symbol
_atom_site_fract_x
_atom_site_fract_y
_atom_site_fract_z
Y1 Y 0.000 0.000 0.000
Ag1 Ag 0.500 0.000 0.198
Te1 Te 0.000 0.000 0.680
Te2 Te 0.500 0.000 0.415
# **Uncorrected formation energy**: -0.97 eV/atom
# **E_tot**: -34.394 eV/atom
# **V**: 214 Å³ per cell

# 11
# CaYMg2Se (meta-GGA SCAN, single point on PBEsol structure)
data_CaYMg2Se
_chemical_formula_sum 'Ca1 Y1 Mg2 Se1'
_cell_length_a 5.516
_cell_length_b 5.516
_cell_length_c 5.903
_cell_angle_alpha 90.00
_cell_angle_beta 90.00
_cell_angle_gamma 90.00
_symmetry_space_group_name_H-M 'P 4/m m m'
_symmetry_Int_Tables_number 123
_symmetry_space_group_name_Hall '-P 4 2'
loop_
_atom_site_label
_atom_site_type_symbol
_atom_site_fract_x
_atom_site_fract_y
_atom_site_fract_z
Ca1 Ca 0.000 0.000 0.000
Y1 Y 0.000 0.000 0.500
Mg1 Mg 0.000 0.500 0.000
Se1 Se 0.500 0.500 0.500
# **Uncorrected formation energy**: 0.97 eV/atom
# **E_tot**: -12.532 eV/atom
# **V**: 180 Å³ per cell

# 12
# KRbCrGa2 (meta-GGA SCAN, single point on PBEsol structure)
data_KRbCrGa2
_chemical_formula_sum 'K1 Rb1 Cr1 Ga2'
_cell_length_a 4.956
_cell_length_b 4.956
_cell_length_c 5.876
_cell_angle_alpha 90.00
_cell_angle_beta 90.00
_cell_angle_gamma 90.00
_symmetry_space_group_name_H-M 'P 4/m m m'
_symmetry_Int_Tables_number 123
_symmetry_space_group_name_Hall '-P 4 2'
loop_
_atom_site_label
_atom_site_type_symbol
_atom_site_fract_x
_atom_site_fract_y
_atom_site_fract_z
K1 K 0.000 0.000 0.000
Rb1 Rb 0.500 0.500 0.000
Cr1 Cr 0.000 0.000 0.500
Ga1 Ga 0.000 0.500 0.500
# **Formation energy**: 234 meV/atom
# **E_tot**: -15.795 eV/atom
# **V**: 144 Å³ per cell

# 13
# FeCSe3 (meta-GGA SCAN, single point on PBEsol structure)
data_FeCSe3
_chemical_formula_sum 'Fe1 C1 Se3'
_cell_length_a 4.310
_cell_length_b 4.310
_cell_length_c 4.310
_cell_angle_alpha 90.00
_cell_angle_beta 90.00
_cell_angle_gamma 90.00
_symmetry_space_group_name_H-M 'P m -3 m'
_symmetry_Int_Tables_number 221
_symmetry_space_group_name_Hall '-P 4 2 3'
loop_
_atom_site_label
_atom_site_type_symbol
_atom_site_fract_x
_atom_site_fract_y
_atom_site_fract_z
Fe1 Fe 0.000 0.000 0.000
C1 C 0.500 0.500 0.500
Se1 Se 0.000 0.500 0.500
# **Uncorrected formation energy**: 1.25 eV/atom
# **E_tot**: -16.447 eV/atom
# **V**: 80 Å³ per cell

# 14
# Al2NiOs (meta-GGA SCAN, single point on PBEsol structure)
data_Al2NiOs
_chemical_formula_sum 'Al2 Ni1 Os1'
_cell_length_a 4.087
_cell_length_b 4.087
_cell_length_c 3.027
_cell_angle_alpha 90.00
_cell_angle_beta 90.00
_cell_angle_gamma 90.00
_symmetry_space_group_name_H-M 'P 4/m m m'
_symmetry_Int_Tables_number 123
_symmetry_space_group_name_Hall '-P 4 2'
loop_
_atom_site_label
_atom_site_type_symbol
_atom_site_fract_x
_atom_site_fract_y
_atom_site_fract_z
Al1 Al 0.000 0.500 0.000
Ni1 Ni 0.000 0.000 0.500
Os1 Os 0.500 0.500 0.500
# **Formation energy**: -765 meV/atom
# **E_tot**: -26.654 eV/atom
# **V**: 51 Å³ per cell

# 15
# TcIr3N (meta-GGA SCAN, single point on PBEsol structure)
data_TcIr3N
_chemical_formula_sum 'Tc1 Ir3 N1'
_cell_length_a 4.634
_cell_length_b 4.634
_cell_length_c 4.634
_cell_angle_alpha 90.00
_cell_angle_beta 90.00
_cell_angle_gamma 90.00
_symmetry_space_group_name_H-M 'P m -3 m'
_symmetry_Int_Tables_number 221
_symmetry_space_group_name_Hall '-P 4 2 3'
loop_
_atom_site_label
_atom_site_type_symbol
_atom_site_fract_x
_atom_site_fract_y
_atom_site_fract_z
Tc1 Tc 0.000 0.000 0.000
Ir1 Ir 0.000 0.000 0.500
N1 N 0.500 0.500 0.500
# **Uncorrected formation energy**: 2.86 eV/atom
# **E_tot**: -48.674 eV/atom
# **V**: 99 Å³ per cell

# 16
# CdRuS2N (meta-GGA SCAN, single point on PBEsol structure)
data_CdRuS2N
_chemical_formula_sum 'Cd1 Ru1 S2 N1'
_cell_length_a 4.930
_cell_length_b 4.930
_cell_length_c 3.984
_cell_angle_alpha 90.00
_cell_angle_beta 90.00
_cell_angle_gamma 90.00
_symmetry_space_group_name_H-M 'P 4/m m m'
_symmetry_Int_Tables_number 123
_symmetry_space_group_name_Hall '-P 4 2'
loop_
_atom_site_label
_atom_site_type_symbol
_atom_site_fract_x
_atom_site_fract_y
_atom_site_fract_z
Cd1 Cd 0.000 0.000 0.000
Ru1 Ru 0.500 0.500 0.500
S1 S 0.000 0.500 0.000
N1 N 0.000 0.000 0.500
# **Uncorrected formation energy**: 1.60 eV/atom
# **E_tot**: -17.160 eV/atom
# **V**: 97 Å³ per cell

# 17
# KTcPAu2 (meta-GGA SCAN, single point on PBEsol structure)
data_KTcPAu2
_chemical_formula_sum 'K1 Tc1 P1 Au2'
_cell_length_a 4.940
_cell_length_b 4.940
_cell_length_c 5.840
_cell_angle_alpha 90.00
_cell_angle_beta 90.00
_cell_angle_gamma 90.00
_symmetry_space_group_name_H-M 'P 4/m m m'
_symmetry_Int_Tables_number 123
_symmetry_space_group_name_Hall '-P 4 2'
loop_
_atom_site_label
_atom_site_type_symbol
_atom_site_fract_x
_atom_site_fract_y
_atom_site_fract_z
K1 K 0.000 0.000 0.000
Tc1 Tc 0.000 0.000 0.500
P1 P 0.500 0.500 0.000
Au1 Au 0.000 0.500 0.500
# **Formation energy**: 1341 meV/atom
# **E_tot**: -37.079 eV/atom
# **V**: 143 Å³ per cell

# 18
# BaCa2Mg (meta-GGA SCAN, single point on PBEsol structure)
data_BaCa2Mg
_chemical_formula_sum 'Ba2 Ca4 Mg2'
_cell_length_a 4.056
_cell_length_b 6.276
_cell_length_c 12.642
_cell_angle_alpha 90.00
_cell_angle_beta 90.00
_cell_angle_gamma 90.00
_symmetry_space_group_name_H-M 'I m m m'
_symmetry_Int_Tables_number 71
_symmetry_space_group_name_Hall '-I 2 2'
loop_
_atom_site_label
_atom_site_type_symbol
_atom_site_fract_x
_atom_site_fract_y
_atom_site_fract_z
Ba1 Ba 0.000 0.000 0.000
Ca1 Ca 0.000 0.500 0.215
Mg1 Mg 0.000 0.000 0.500
# **Formation energy**: -1 meV/atom
# **E_tot**: -15.964 eV/atom
# **V**: 322 Å³ per cell

# 19
# HfTeI2 (meta-GGA SCAN, single point on PBEsol structure)
data_HfTeI2
_chemical_formula_sum 'Hf4 Te4 I8'
_cell_length_a 10.159
_cell_length_b 10.159
_cell_length_c 5.487
_cell_angle_alpha 90.00
_cell_angle_beta 90.00
_cell_angle_gamma 90.00
_symmetry_space_group_name_H-M 'I -4 2 d'
_symmetry_Int_Tables_number 122
_symmetry_space_group_name_Hall 'I -4 2bw'
loop_
_atom_site_label
_atom_site_type_symbol
_atom_site_fract_x
_atom_site_fract_y
_atom_site_fract_z
Hf1 Hf 0.000 0.000 0.000
Te1 Te 0.000 0.000 0.500
I1 I 0.121 0.750 0.125
# **Uncorrected formation energy**: -0.45 eV/atom
# **E_tot**: -43.805 eV/atom
# **V**: 566 Å³ per cell

# 20
# Sc3CoC4 (meta-GGA SCAN, single point on PBEsol structure)
data_Sc3CoC4
_chemical_formula_sum 'Sc6 Co2 C8'
_cell_length_a 3.400
_cell_length_b 4.297
_cell_length_c 11.845
_cell_angle_alpha 90.00
_cell_angle_beta 90.00
_cell_angle_gamma 90.00
_symmetry_space_group_name_H-M 'I m m m'
_symmetry_Int_Tables_number 71
_symmetry_space_group_name_Hall '-I 2 2'
loop_
_atom_site_label
_atom_site_type_symbol
_atom_site_fract_x
_atom_site_fract_y
_atom_site_fract_z
Sc1 Sc 0.000 0.000 0.000
Sc2 Sc 0.000 0.500 0.188
Co1 Co 0.000 0.000 0.500
C1 C 0.000 0.331 0.377
# **Formation energy**: -520 meV/atom
# **E_tot**: -13.072 eV/atom
# **V**: 173 Å³ per cell